SmZn8Pt4 | PBE | relaxed

a b c (Å): 8.8152 8.8152 5.4991
angles (deg): 90.00 90.00 90.00
Last column: nearest neighbours and their distance in Å.
Space group I4/mmm (No. 139)
Asymmetric unit:
Sm: 0.0000 0.0000 0.0000 (multiplicity 2)  12 Zn 3.06-3.35, 8 Pt 3.41
Zn: 0.0000 0.2174 0.5000 (multiplicity 8)  4 Pt 2.61, 4 Zn 2.71-2.83
Zn: 0.0000 0.3476 0.0000 (multiplicity 8)  5 Zn 2.69-2.98, 4 Pt 2.74
Pt: 0.2500 0.2500 0.2500 (multiplicity 8)  8 Zn 2.61-2.74, 2 Pt 2.75

Calculated values
Formation energy ... -51 kJ/mol of atoms

AgPb2Cl | PBE | relaxed

a b c (Å): 3.9142 5.7891 9.5076
angles (deg): 90.00 90.00 90.00
Last column: nearest neighbours and their distance in Å.
Space group Immm (No. 71)
Asymmetric unit:
Ag: 0.0000 0.0000 0.0000 (multiplicity 2)  4 Pb 3.05
Pb: 0.0000 0.5000 0.2539 (multiplicity 4)  2 Ag 3.05, 2 Cl 3.11
Cl: 0.0000 0.0000 0.5000 (multiplicity 2)  4 Pb 3.11

Calculated values
ΔE_f (raw) ... -0.11 eV per atom

MoSe2Br | PBE | relaxed

a b c (Å): 5.8554 7.9751 4.9171
angles (deg): 90.00 125.79 90.00
Last column: nearest neighbours and their distance in Å.
Space group C2/m (No. 12)
Asymmetric unit:
Mo: 0.0000 0.0000 0.0000 (multiplicity 2)  4 Se 2.82, 2 Br 2.93
Se: 0.2500 0.2500 0.5000 (multiplicity 4)  2 Br 2.82, 2 Mo 2.82, 2 Se 2.93
Br: 0.0000 0.5000 0.0000 (multiplicity 2)  4 Se 2.82, 2 Mo 2.93

Calculated values
ΔE_f (raw) ... 0.63 eV per atom
ΔE to the lowest computed polymorph ... 0.912 eV/atom

BaPAu | PBE | relaxed

a b c (Å): 4.5308 8.0530 11.1416
angles (deg): 90.00 90.00 90.00
Last column: nearest neighbours and their distance in Å.
Space group Fmm2 (No. 42)
Asymmetric unit:
Ba: 0.0000 0.0000 0.0000 (multiplicity 4)  3 Au 3.12-3.34, 3 P 3.23-3.26
P: 0.0000 0.0000 0.7072 (multiplicity 4)  2 Au 2.41
Au: 0.0000 0.0000 0.2798 (multiplicity 4)  2 P 2.41

Calculated values
Formation energy ... -34 kJ/mol of atoms

BaCa2Gd | PBE | relaxed

a b c (Å): 6.3094 6.3094 4.3292
angles (deg): 90.00 90.00 90.00
Last column: nearest neighbours and their distance in Å.
Space group P4/mmm (No. 123)
Asymmetric unit:
Ba: 0.0000 0.0000 0.0000 (multiplicity 1)  8 Ca 3.83
Ca: 0.0000 0.5000 0.5000 (multiplicity 2)  4 Gd 3.83, 4 Ba 3.83
Gd: 0.5000 0.5000 0.0000 (multiplicity 1)  8 Ca 3.83

Calculated values
Formation energy ... 15 kJ/mol of atoms
ΔE to the lowest computed polymorph ... 0.050 eV/atom

ZnCuBr | PBE | relaxed

a b c (Å): 6.3489 6.3489 6.3489
angles (deg): 90.00 90.00 90.00
Last column: nearest neighbours and their distance in Å.
Space group F-43m (No. 216)
Asymmetric unit:
Zn: 0.0000 0.0000 0.0000 (multiplicity 4)  4 Cu 2.75
Cu: 0.2500 0.2500 0.2500 (multiplicity 4)  4 Br 2.75, 4 Zn 2.75
Br: 0.0000 0.0000 0.5000 (multiplicity 4)  4 Cu 2.75

Calculated values
ΔE_f (raw) ... 0.25 eV per atom
ΔE to the lowest computed polymorph ... 0.259 eV/atom

NaPrAs | PBE | relaxed

a b c (Å): 5.0517 5.0517 24.5370
angles (deg): 90.00 90.00 120.00
Last column: nearest neighbours and their distance in Å.
Space group R-3m (No. 166, hexagonal axes)
Asymmetric unit:
Na: 0.0000 0.0000 0.1366 (multiplicity 6)  4 As 2.99-3.29, 3 Na 3.27
Pr: 0.0000 0.0000 0.3846 (multiplicity 6)  4 As 2.97-3.10
As: 0.0000 0.0000 0.2583 (multiplicity 6)  4 Pr 2.97-3.10, 4 Na 2.99-3.29

Calculated values
Formation energy ... -68 kJ/mol of atoms

La3Dy8Tm4 | PBE | relaxed

a b c (Å): 13.4150 12.8141 6.7586
angles (deg): 90.00 120.09 90.00
Last column: nearest neighbours and their distance in Å.
Space group C2/m (No. 12)
Asymmetric unit:
La: 0.0000 0.0000 0.0000 (multiplicity 2)  6 Dy 3.18-3.29
La: 0.2500 0.2500 0.5000 (multiplicity 4)  4 Dy 3.22-3.36, 2 Tm 3.38
Dy: 0.0000 0.1416 0.5000 (multiplicity 4)  7 Dy 3.56-3.78, 4 La 3.63-3.84, 2 Tm 3.64
Dy: 0.0000 0.2484 0.0000 (multiplicity 4)  3 La 3.18-3.36, 3 Tm 3.22-3.35
Dy: 0.2312 0.0000 0.5114 (multiplicity 4)  4 Dy 3.21-3.56, 3 La 3.22-3.29, 1 Tm 3.46
Dy: 0.2442 0.0000 0.9986 (multiplicity 4)  4 Tm 3.20-3.43, 2 Dy 3.21-3.56, 1 La 3.28
Tm: 0.0000 0.5000 0.0000 (multiplicity 2)  6 Dy 3.22-3.46, 2 Tm 3.38
Tm: 0.0000 0.5000 0.5000 (multiplicity 2)  2 Tm 3.38, 4 Dy 3.41-3.65
Tm: 0.2500 0.2500 0.0000 (multiplicity 4)  4 Dy 3.20-3.35, 2 La 3.38

Calculated values
Formation energy ... 38 kJ/mol of atoms

Sm2Th2Sc5 | PBE | relaxed

a b c (Å): 13.7826 9.0602 8.4485
angles (deg): 90.00 90.00 90.00
Last column: nearest neighbours and their distance in Å.
Space group Ima2 (No. 46)
Asymmetric unit:
Sm: 0.1237 0.0627 0.0000 (multiplicity 8)  5 Sc 3.17-3.41, 2 Th 3.27-3.37, 1 Sm 3.48
Th: 0.0000 0.0000 0.6770 (multiplicity 4)  4 Sc 2.95-3.30, 2 Sm 3.27
Th: 0.2500 0.0010 0.3344 (multiplicity 4)  8 Sc 3.18-3.51, 2 Sm 3.37
Sc: 0.0215 0.1663 0.3317 (multiplicity 8)  3 Sc 3.07-3.27, 2 Sm 3.17-3.27, 2 Th 3.30-3.31
Sc: 0.1464 0.7251 0.0972 (multiplicity 8)  1 Sc 2.86, 1 Th 2.95, 1 Sm 3.18
Sc: 0.2500 0.1560 0.6727 (multiplicity 4)  2 Th 3.18-3.39, 4 Sm 3.37-3.41

Calculated values
Formation energy ... 31 kJ/mol of atoms
ΔE to the lowest computed polymorph ... 0.079 eV/atom

HoPuGeIr | PBE | relaxed

a b c (Å): 6.9917 6.9917 6.9917
angles (deg): 90.00 90.00 90.00
Last column: nearest neighbours and their distance in Å.
Space group F-43m (No. 216)
Asymmetric unit:
Ho: 0.0000 0.0000 0.0000 (multiplicity 4)  4 Ge 3.03, 4 Ir 3.03
Pu: 0.0000 0.0000 0.5000 (multiplicity 4)  4 Ir 3.03, 4 Ge 3.03
Ge: 0.2500 0.2500 0.7500 (multiplicity 4)  4 Pu 3.03, 4 Ho 3.03
Ir: 0.2500 0.2500 0.2500 (multiplicity 4)  4 Ho 3.03, 4 Pu 3.03

Calculated values
Formation energy ... -48 kJ/mol of atoms

Nd5GeSb4 | PBE | relaxed

a b c (Å): 4.4855 4.4855 31.6442
angles (deg): 90.00 90.00 90.00
Last column: nearest neighbours and their distance in Å.
Space group I4/mmm (No. 139)
Asymmetric unit:
Nd: 0.0000 0.0000 0.0000 (multiplicity 2)  2 Sb 3.16, 4 Ge 3.17
Nd: 0.0000 0.0000 0.2001 (multiplicity 4)  6 Sb 3.17-3.21
Nd: 0.0000 0.0000 0.4032 (multiplicity 4)  1 Ge 3.06, 5 Sb 3.17-3.22
Ge: 0.0000 0.0000 0.5000 (multiplicity 2)  6 Nd 3.06-3.17
Sb: 0.0000 0.0000 0.0998 (multiplicity 4)  6 Nd 3.16-3.18
Sb: 0.0000 0.0000 0.3015 (multiplicity 4)  6 Nd 3.17-3.22

Calculated values
ΔE_f (raw) ... -1.07 eV per atom

Na3Bi2Au4 | PBE | relaxed

a b c (Å): 9.6967 4.8491 10.3371
angles (deg): 90.00 117.45 90.00
Last column: nearest neighbours and their distance in Å.
Space group C2/m (No. 12)
Asymmetric unit:
Na: 0.0000 0.0000 0.0000 (multiplicity 2)  6 Au 3.07-3.12, 4 Bi 3.27
Na: 0.1924 0.5000 0.5965 (multiplicity 4)  3 Au 3.00-3.09, 1 Na 3.32
Bi: 0.0170 0.5000 0.2192 (multiplicity 4)  4 Au 2.86-3.04
Au: 0.0208 0.0000 0.6401 (multiplicity 4)  2 Au 2.74-2.84, 2 Bi 2.94, 1 Na 3.00
Au: 0.2271 0.5000 0.0737 (multiplicity 4)  3 Au 2.84-3.00, 2 Bi 2.86-3.04, 3 Na 3.07-3.12

Calculated values
Formation energy ... -25 kJ/mol of atoms
ΔE to the lowest computed polymorph ... 0.000 eV/atom

| no. | Fermi-level density of states (states/eV/f.u.) | calculated density (g/cm3) | DFT total energy (eV/atom) |
| --- | --- | --- | --- |
| 1 | 6.12 | 11.300 | -3.532 |
| 2 | 1.31 | 8.597 | -3.136 |
| 3 | 2.65 | 5.951 | -4.238 |
| 4 | 1.08 | 5.968 | -3.893 |
| 5 | 8.87 | 3.611 | -4.851 |
| 6 | 0.36 | 5.421 | -2.101 |
| 7 | 2.05 | 4.388 | -4.284 |
| 8 | 29.59 | 7.904 | -4.236 |
| 9 | 12.62 | 6.230 | -5.894 |
| 10 | 7.71 | 13.094 | -8.599 |
| 11 | 4.54 | 6.682 | -5.564 |
| 12 | 1.97 | 9.816 | -3.022 |